Here is InFeI2O after structural relaxation from Alexandria. Energies are from GGA+U.

Energy above the lowest structure with this stoichiometry, meV/atom: 0
Total energy, eV/atom: -3.73
Symmetry: P4/mmm (123)

a = 6.0227 Å, b = 6.0227 Å, c = 3.7451 Å
α = 90.00°, β = 90.00°, γ = 90.00°
Closest atoms and distances in Å follow each position.
Sites, in units of the cell vectors:
In 0.0000 0.0000 0.0000  8 I 3.55, 2 In 3.75
Fe 0.5000 0.5000 0.5000  2 O 1.87
I 0.0000 0.5000 0.5000  2 Fe 3.01
I 0.5000 0.0000 0.5000  2 Fe 3.01
O 0.5000 0.5000 0.0000  2 Fe 1.87